ErCdAgRu | Alexandria | PBE | optimized geometry; energy = -18.0 eV per cell; DOS at the Fermi energy = 0.304 states/eV per atom
1.0
0.000 3.382 3.382
3.382 0.000 3.382
3.382 3.382 0.000
Er Cd Ag Ru
1 1 1 1
direct
0.000 0.000 0.000
0.500 0.500 0.500
0.250 0.250 0.250
0.750 0.750 0.750


Er4CdAg2Ru | Alexandria | PBE | optimized geometry; energy = -37.1 eV per cell; DOS at the Fermi energy = 0.711 states/eV per atom
1.0
2.531 1.461 8.201
-2.531 1.461 8.201
0.000 -2.923 8.201
Er Cd Ag Ru
4 1 2 1
direct
0.115 0.115 0.115
0.367 0.367 0.367
0.633 0.633 0.633
0.885 0.885 0.885
0.500 0.500 0.500
0.243 0.243 0.243
0.757 0.757 0.757
0.000 0.000 0.000


Er4CdAgRu2 | Alexandria | PBE | optimized geometry; energy = -43.4 eV per cell; DOS at the Fermi energy = 0.717 states/eV per atom
1.0
2.478 1.431 8.075
-2.478 1.431 8.075
0.000 -2.861 8.075
Er Cd Ag Ru
4 1 1 2
direct
0.123 0.123 0.123
0.373 0.373 0.373
0.627 0.627 0.627
0.877 0.877 0.877
0.500 0.500 0.500
0.000 0.000 0.000
0.249 0.249 0.249
0.751 0.751 0.751


ErScCdAg | Alexandria | PBE | optimized geometry; DOS at the Fermi energy = 0.758 states/eV per atom; polymorph energy (0 for the lowest one) = 0 meV/atom
1.0
3.587 0.000 0.000
0.000 3.587 0.000
0.000 0.000 7.089
Er Sc Cd Ag
1 1 1 1
direct
0.000 0.000 0.000
0.000 0.000 0.482
0.500 0.500 0.722
0.500 0.500 0.259


Record-wise calculated volume values, in Å³ per cell: 77.37, 181.99, 171.75, 91.23